(1)
Here is a relaxed Ca3ZnCl2F6 crystal from Alexandria. Energies are from GGA-PBE.

Geometry as POSCAR:
```
Ca3ZnCl2F6
1.0
5.986 -3.466 0.000
5.986 3.466 0.000
-0.846 0.000 5.336
Ca Zn Cl F
3 1 2 6
direct
0.000 0.000 0.000 Ca
0.000 0.500 0.500 Ca
0.500 0.000 0.500 Ca
0.500 0.500 0.500 Zn
0.202 0.202 0.848 Cl
0.798 0.798 0.152 Cl
0.178 0.689 0.707 F
0.311 0.822 0.293 F
0.340 0.340 0.350 F
0.660 0.660 0.650 F
0.689 0.178 0.707 F
0.822 0.311 0.293 F
```

* density of states at the Fermi level: 0.000 states/eV/atom
* magnetization: 0.00 μB per formula unit
* electronic total energy: -58.4 eV for the cell shown
* mass density: 2.78 g/cm3



(2)
Here is a relaxed BaCuAgPt2 crystal from Alexandria. Energies are from GGA-PBE.

Geometry as POSCAR:
```
BaCuAgPt2
1.0
5.461 0.000 0.000
0.000 5.461 0.000
0.000 0.000 5.888
Ba Cu Ag Pt
1 1 1 2
direct
0.000 0.000 0.000 Ba
0.500 0.500 0.500 Cu
0.000 0.000 0.500 Ag
0.000 0.500 0.000 Pt
0.500 0.000 0.000 Pt
```

* ΔE_f: 1657 meV per atom
* density of states at the Fermi level: 1.169 states/eV/atom
* magnetization: 0.00 μB per formula unit
* mass density: 6.61 g/cm3



(3)
Here is a relaxed Ce6ThHg5 crystal from Alexandria. Energies are from GGA-PBE.

Geometry as POSCAR:
```
Ce6ThHg5
1.0
2.783 -8.340 0.000
2.783 8.340 0.000
0.000 0.000 7.261
Ce Th Hg
6 1 5
direct
0.000 0.000 0.231 Ce
0.000 0.000 0.769 Ce
0.328 0.672 0.254 Ce
0.328 0.672 0.746 Ce
0.672 0.328 0.254 Ce
0.672 0.328 0.746 Ce
0.500 0.500 0.500 Th
0.155 0.845 0.500 Hg
0.168 0.832 0.000 Hg
0.500 0.500 0.000 Hg
0.832 0.168 0.000 Hg
0.845 0.155 0.500 Hg
```

* ΔE_f: -178 meV per atom
* density of states at the Fermi level: 3.459 states/eV/atom
* magnetization: 8.81 μB per formula unit
* mass density: 10.23 g/cm3



(4)
Here is a relaxed SiTeIr crystal from Alexandria. Energies are from GGA-PBE.

Geometry as POSCAR:
```
SiTeIr
1.0
-1.519 1.519 6.087
1.519 -1.519 6.087
1.519 1.519 -6.087
Si Te Ir
1 1 1
direct
0.000 0.000 0.000 Si
0.711 0.711 0.000 Te
0.398 0.398 0.000 Ir
```

* density of states at the Fermi level: 0.841 states/eV/atom
* magnetization: 0.00 μB per formula unit
* electronic total energy: -16.9 eV for the cell shown
* mass density: 10.29 g/cm3



(5)
Here is a relaxed K2PaTlS4 crystal from Alexandria. Energies are from GGA-PBE.

Geometry as POSCAR:
```
K2PaTlS4
1.0
7.597 0.000 0.000
0.000 4.210 0.000
-2.525 0.000 7.354
K Pa Tl S
2 1 1 4
direct
0.000 0.000 0.000 K
0.000 0.500 0.500 K
0.500 0.000 0.500 Pa
0.500 0.500 0.000 Tl
0.296 0.000 0.704 S
0.299 0.500 0.299 S
0.701 0.500 0.701 S
0.704 0.000 0.296 S
```

* magnetization: 0.00 μB per formula unit
* electronic total energy: -41.0 eV for the cell shown
* mass density: 4.53 g/cm3



(6)
Here is a relaxed Nb2HRhAu crystal from Alexandria. Energies are from GGA-PBE.

Geometry as POSCAR:
```
Nb2HRhAu
1.0
4.071 0.000 0.000
0.000 4.071 0.000
0.000 0.000 4.204
Nb H Rh Au
2 1 1 1
direct
0.000 0.500 0.000 Nb
0.500 0.000 0.000 Nb
0.000 0.000 0.000 H
0.500 0.500 0.500 Rh
0.000 0.000 0.500 Au
```

* energy above the most stable polymorph in this dataset: 89 meV/atom
* density of states at the Fermi level: 0.516 states/eV/atom
* magnetization: 0.00 μB per formula unit
* mass density: 11.60 g/cm3



(7)
Here is a relaxed VHPt crystal from Alexandria. Energies are from GGA-PBE.

Geometry as POSCAR:
```
VHPt
1.0
10.251 0.000 0.000
0.000 5.635 0.000
0.000 0.000 8.864
V H Pt
16 16 16
direct
0.002 0.133 0.232 V
0.111 0.633 0.950 V
0.131 0.630 0.500 V
0.240 0.877 0.243 V
0.260 0.377 0.743 V
0.369 0.130 0.000 V
0.389 0.133 0.450 V
0.498 0.633 0.732 V
0.502 0.367 0.232 V
0.611 0.867 0.950 V
0.631 0.870 0.500 V
0.740 0.623 0.243 V
0.760 0.123 0.743 V
0.869 0.370 0.000 V
0.889 0.367 0.450 V
0.998 0.867 0.732 V
0.034 0.395 0.086 H
0.142 0.103 0.702 H
0.208 0.146 0.122 H
0.247 0.335 0.536 H
0.253 0.835 0.036 H
0.292 0.646 0.622 H
0.358 0.603 0.202 H
0.466 0.895 0.586 H
0.534 0.105 0.086 H
0.642 0.397 0.702 H
0.708 0.354 0.122 H
0.747 0.165 0.536 H
0.753 0.665 0.036 H
0.792 0.854 0.622 H
0.858 0.897 0.202 H
0.966 0.605 0.586 H
0.006 0.621 0.226 Pt
0.103 0.127 0.951 Pt
0.124 0.111 0.495 Pt
0.238 0.375 0.258 Pt
0.262 0.875 0.758 Pt
0.376 0.611 0.995 Pt
0.397 0.627 0.451 Pt
0.494 0.121 0.726 Pt
0.506 0.879 0.226 Pt
0.603 0.373 0.951 Pt
0.624 0.389 0.495 Pt
0.738 0.125 0.258 Pt
0.762 0.625 0.758 Pt
0.876 0.889 0.995 Pt
0.897 0.873 0.451 Pt
0.994 0.379 0.726 Pt
```

* energy above the most stable polymorph in this dataset: 150 meV/atom
* density of states at the Fermi level: 0.643 states/eV/atom
* magnetization: 0.06 μB per formula unit
* mass density: 12.82 g/cm3



(8)
Here is a relaxed NaDy2ErSe4 crystal from Alexandria. Energies are from GGA-PBE.

Geometry as POSCAR:
```
NaDy2ErSe4
1.0
7.096 0.000 0.000
0.000 4.058 0.000
-2.307 0.000 6.712
Na Dy Er Se
1 2 1 4
direct
0.000 0.000 0.000 Na
0.000 0.500 0.500 Dy
0.500 0.000 0.500 Dy
0.500 0.500 0.000 Er
0.252 0.000 0.753 Se
0.254 0.500 0.252 Se
0.746 0.500 0.748 Se
0.748 0.000 0.247 Se
```

* density of states at the Fermi level: 0.331 states/eV/atom
* magnetization: 0.00 μB per formula unit
* electronic total energy: -42.8 eV for the cell shown
* mass density: 7.14 g/cm3



(9)
Here is a relaxed Ac2GaO crystal from Alexandria. Energies are from GGA-PBE.

Geometry as POSCAR:
```
Ac2GaO
1.0
2.171 1.254 8.910
-2.171 1.254 8.910
0.000 -2.507 8.910
Ac Ga O
2 1 1
direct
0.082 0.082 0.082 Ac
0.918 0.918 0.918 Ac
0.500 0.500 0.500 Ga
0.000 0.000 0.000 O
```

* energy above the most stable polymorph in this dataset: 0 meV/atom
* density of states at the Fermi level: 0.639 states/eV/atom
* magnetization: 0.00 μB per formula unit
* mass density: 6.16 g/cm3



(10)
Here is a relaxed Tm5Mg5Ag2 crystal from Alexandria. Energies are from GGA-PBE.

Geometry as POSCAR:
```
Tm5Mg5Ag2
1.0
4.531 -2.614 0.000
4.531 2.614 0.000
-3.109 0.000 12.883
Tm Mg Ag
5 5 2
direct
0.000 0.000 0.000 Tm
0.142 0.142 0.427 Tm
0.399 0.399 0.197 Tm
0.601 0.601 0.803 Tm
0.858 0.858 0.573 Tm
0.227 0.227 0.681 Mg
0.307 0.307 0.923 Mg
0.500 0.500 0.500 Mg
0.693 0.693 0.077 Mg
0.773 0.773 0.319 Mg
0.071 0.071 0.213 Ag
0.929 0.929 0.787 Ag
```

* ΔE_f: -64 meV per atom
* density of states at the Fermi level: 0.759 states/eV/atom
* magnetization: 0.00 μB per formula unit
* mass density: 6.43 g/cm3



(11)
Here is a relaxed Ba4PtRh crystal from Alexandria. Energies are from GGA-PBE.

Geometry as POSCAR:
```
Ba4PtRh
1.0
4.612 -9.066 0.000
4.612 9.066 0.000
-4.610 0.000 6.357
Ba Pt Rh
8 2 2
direct
0.061 0.427 0.250 Ba
0.197 0.297 0.746 Ba
0.297 0.197 0.246 Ba
0.427 0.061 0.750 Ba
0.573 0.939 0.250 Ba
0.703 0.803 0.754 Ba
0.803 0.703 0.254 Ba
0.939 0.573 0.750 Ba
0.427 0.573 0.250 Pt
0.573 0.427 0.750 Pt
0.079 0.921 0.750 Rh
0.921 0.079 0.250 Rh
```

* ΔE_f: -372 meV per atom
* energy above the most stable polymorph in this dataset: 13 meV/atom
* density of states at the Fermi level: 0.655 states/eV/atom
* magnetization: 0.00 μB per formula unit
* mass density: 5.29 g/cm3



(12)
Here is a relaxed TlGaPtSe crystal from Alexandria. Energies are from GGA-PBE.

Geometry as POSCAR:
```
TlGaPtSe
1.0
4.923 0.000 0.000
0.000 4.125 0.000
-2.283 0.000 4.808
Tl Ga Pt Se
1 1 1 1
direct
0.000 0.000 0.000 Tl
0.691 0.500 0.398 Ga
0.483 0.000 0.506 Pt
0.268 0.500 0.676 Se
```

* energy above the most stable polymorph in this dataset: 5 meV/atom
* density of states at the Fermi level: 0.262 states/eV/atom
* magnetization: 0.00 μB per formula unit
* mass density: 9.32 g/cm3